First-principles (PBE) data for an optimized crystal structure of Tl3ZnGe, as listed in the Alexandria database. Values from VASP.

Values from the calculation:
Calculated density ... 8.3 g/cm3
Magnetization ... 0.000 μB/f.u.
DFT total energy ... -2.1275 eV/atom

Cell and atoms, written as Quantum ESPRESSO input:
```
&SYSTEM
  ibrav = 0, nat = 5, ntyp = 3
/
ATOMIC_SPECIES
Tl 204.38 Tl.upf
Ge 72.64 Ge.upf
Zn 65.41 Zn.upf
ATOMIC_POSITIONS angstrom
Tl 2.663 0.000 0.000
Tl 0.000 0.000 2.663
Tl 0.000 2.663 0.000
Ge 2.663 2.663 2.663
Zn 0.000 0.000 0.000
CELL_PARAMETERS angstrom
5.326 0.000 0.000
0.000 5.326 0.000
0.000 0.000 5.326
```



First-principles (PBE) data for an optimized crystal structure of TlZn2Ge2, as listed in the Alexandria database. Values from VASP.

Values from the calculation:
Calculated density ... 7.9 g/cm3
Magnetization ... 0.000 μB/f.u.
DFT total energy ... -2.6234 eV/atom

Cell and atoms, written as Quantum ESPRESSO input:
```
&SYSTEM
  ibrav = 0, nat = 10, ntyp = 3
/
ATOMIC_SPECIES
Zn 65.41 Zn.upf
Tl 204.38 Tl.upf
Ge 72.64 Ge.upf
ATOMIC_POSITIONS angstrom
Zn 2.948 7.022 0.000
Zn 5.199 1.125 0.000
Zn 1.125 2.948 0.000
Zn 7.022 5.199 0.000
Tl 4.074 4.074 0.000
Tl 0.000 0.000 0.000
Ge 5.321 6.901 1.518
Ge 1.247 5.321 1.518
Ge 2.827 1.247 1.518
Ge 6.901 2.827 1.518
CELL_PARAMETERS angstrom
8.148 0.000 0.000
0.000 8.148 0.000
0.000 0.000 3.036
```



First-principles (PBE) data for an optimized crystal structure of TlZn2Ge2, as listed in the Alexandria database. Values from VASP.

Values from the calculation:
Calculated density ... 7.5 g/cm3
Magnetization ... 0.000 μB/f.u.
DFT total energy ... -2.7319 eV/atom

Cell and atoms, written as Quantum ESPRESSO input:
```
&SYSTEM
  ibrav = 0, nat = 5, ntyp = 3
/
ATOMIC_SPECIES
Zn 65.41 Zn.upf
Ge 72.64 Ge.upf
Tl 204.38 Tl.upf
ATOMIC_POSITIONS angstrom
Zn 2.210 4.420 2.715
Zn 4.420 2.210 2.715
Ge 2.210 2.210 1.268
Ge 4.420 4.420 4.162
Tl 0.000 0.000 0.000
CELL_PARAMETERS angstrom
4.420 0.000 0.000
0.000 4.420 0.000
2.210 2.210 5.430
```



First-principles (PBE) data for an optimized crystal structure of TlZnGe2, as listed in the Alexandria database. Values from VASP.

Values from the calculation:
Calculated density ... 7.6 g/cm3
Magnetization ... 0.000 μB/f.u.
DFT total energy ... -2.9385 eV/atom

Cell and atoms, written as Quantum ESPRESSO input:
```
&SYSTEM
  ibrav = 0, nat = 8, ntyp = 3
/
ATOMIC_SPECIES
Ge 72.64 Ge.upf
Zn 65.41 Zn.upf
Tl 204.38 Tl.upf
ATOMIC_POSITIONS angstrom
Ge 2.991 -2.256 -2.078
Ge 1.116 -3.703 -0.847
Ge 5.817 -8.120 -2.861
Ge 5.831 -6.401 -0.820
Zn 5.003 -4.138 -2.158
Zn 0.337 -1.678 -2.547
Tl 2.874 -6.102 -1.145
Tl 0.000 0.000 0.000
CELL_PARAMETERS angstrom
-1.792 -3.643 -1.534
2.466 0.286 -3.560
7.203 -6.883 1.791
```



First-principles (PBE) data for an optimized crystal structure of Tl2Zn2Ge, as listed in the Alexandria database. Values from VASP.

Values from the calculation:
Calculated density ... 8.7 g/cm3
Magnetization ... 0.000 μB/f.u.
DFT total energy ... -2.2282 eV/atom

Cell and atoms, written as Quantum ESPRESSO input:
```
&SYSTEM
  ibrav = 0, nat = 10, ntyp = 3
/
ATOMIC_SPECIES
Ge 72.64 Ge.upf
Tl 204.38 Tl.upf
Zn 65.41 Zn.upf
ATOMIC_POSITIONS angstrom
Ge 3.396 3.396 0.000
Ge 0.000 0.000 0.000
Tl 2.181 1.215 2.520
Tl 5.577 2.181 2.520
Tl 4.611 5.577 2.520
Tl 1.215 4.611 2.520
Zn 0.913 2.483 0.000
Zn 5.879 4.309 0.000
Zn 4.309 0.913 0.000
Zn 2.483 5.879 0.000
CELL_PARAMETERS angstrom
6.792 0.000 0.000
0.000 6.792 0.000
0.000 0.000 5.041
```



First-principles (PBE) data for an optimized crystal structure of Tl2ZnGe, as listed in the Alexandria database. Values from VASP.

Values from the calculation:
Calculated density ... 9.2 g/cm3
Magnetization ... 0.000 μB/f.u.
DFT total energy ... -2.3960 eV/atom

Cell and atoms, written as Quantum ESPRESSO input:
```
&SYSTEM
  ibrav = 0, nat = 4, ntyp = 3
/
ATOMIC_SPECIES
Tl 204.38 Tl.upf
Ge 72.64 Ge.upf
Zn 65.41 Zn.upf
ATOMIC_POSITIONS angstrom
Tl -3.386 -8.410 -2.904
Tl -1.129 -2.803 -0.968
Ge -2.257 -5.606 -1.936
Zn 0.000 0.000 0.000
CELL_PARAMETERS angstrom
0.684 -5.133 0.197
-4.106 -3.160 0.070
-1.093 -2.920 -4.139
```



Calculated values (states/eV/f.u.) of DOS at the Fermi energy for the records, taken in order: 5.9; 1.7; 1.5; 2.7; 2.0; 1.9.
Calculated values (Å³/atom) of V for the records, taken in order: 30.21; 20.16; 21.22; 22.71; 23.26; 24.59.
Calculated values (eV per atom) of formation energy for the records, taken in order: 0.4705; 0.2063; 0.0978; 0.2802; 0.1514; 0.2600.